## a
# NaAsIO2 | the Alexandria database | PBE | relaxed
# Total moment: 0.0 μB/cell
data_NaAsIO2
_chemical_formula_sum 'Na4 As4 I4 O8'
_cell_length_a 5.587
_cell_length_b 14.908
_cell_length_c 5.177
_cell_angle_alpha 90.00
_cell_angle_beta 90.00
_cell_angle_gamma 90.00
_symmetry_space_group_name_H-M 'C m c m'
_symmetry_Int_Tables_number 63
_symmetry_space_group_name_Hall '-C 2c 2'
loop_
_atom_site_label
_atom_site_type_symbol
_atom_site_fract_x
_atom_site_fract_y
_atom_site_fract_z
Na1 Na 0.000 0.085 0.250
As1 As 0.000 0.453 0.250
I1 I 0.000 0.247 0.750
O1 O 0.214 0.500 0.000

## b
# NaAsIO2 | the Alexandria database | PBE | relaxed
# Total moment: 0.0 μB/cell
data_NaAsIO2
_chemical_formula_sum 'Na1 As1 I1 O2'
_cell_length_a 3.952
_cell_length_b 3.952
_cell_length_c 6.191
_cell_angle_alpha 90.00
_cell_angle_beta 90.00
_cell_angle_gamma 90.00
_symmetry_space_group_name_H-M 'P 4/m m m'
_symmetry_Int_Tables_number 123
_symmetry_space_group_name_Hall '-P 4 2'
loop_
_atom_site_label
_atom_site_type_symbol
_atom_site_fract_x
_atom_site_fract_y
_atom_site_fract_z
Na1 Na 0.000 0.000 0.000
As1 As 0.500 0.500 0.500
I1 I 0.500 0.500 0.000
O1 O 0.000 0.500 0.500

## c
# NaAsIO2 | the Alexandria database | PBE | relaxed
# Total moment: 1.7 μB/cell
data_NaAsIO2
_chemical_formula_sum 'Na1 As1 I1 O2'
_cell_length_a 4.351
_cell_length_b 4.351
_cell_length_c 5.987
_cell_angle_alpha 90.00
_cell_angle_beta 90.00
_cell_angle_gamma 90.00
_symmetry_space_group_name_H-M 'P 4/m m m'
_symmetry_Int_Tables_number 123
_symmetry_space_group_name_Hall '-P 4 2'
loop_
_atom_site_label
_atom_site_type_symbol
_atom_site_fract_x
_atom_site_fract_y
_atom_site_fract_z
Na1 Na 0.000 0.000 0.000
As1 As 0.500 0.500 0.500
I1 I 0.000 0.000 0.500
O1 O 0.000 0.500 0.000

Verdict on stability: c comes out at the bottom.

## a
# NaSb2AsI | the Alexandria database | PBE | relaxed
# Total moment: 0.0 μB/cell
data_NaSb2AsI
_chemical_formula_sum 'Na1 Sb2 As1 I1'
_cell_length_a 5.235
_cell_length_b 5.235
_cell_length_c 8.943
_cell_angle_alpha 90.00
_cell_angle_beta 90.00
_cell_angle_gamma 90.00
_symmetry_space_group_name_H-M 'P 4/m m m'
_symmetry_Int_Tables_number 123
_symmetry_space_group_name_Hall '-P 4 2'
loop_
_atom_site_label
_atom_site_type_symbol
_atom_site_fract_x
_atom_site_fract_y
_atom_site_fract_z
Na1 Na 0.000 0.000 0.000
Sb1 Sb 0.000 0.500 0.500
As1 As 0.500 0.500 0.500
I1 I 0.500 0.500 0.000

## b
# NaSb2AsI | the Alexandria database | PBE | relaxed
# Total moment: 0.9 μB/cell
data_NaSb2AsI
_chemical_formula_sum 'Na1 Sb2 As1 I1'
_cell_length_a 5.568
_cell_length_b 5.568
_cell_length_c 5.454
_cell_angle_alpha 90.00
_cell_angle_beta 90.00
_cell_angle_gamma 90.00
_symmetry_space_group_name_H-M 'P 4/m m m'
_symmetry_Int_Tables_number 123
_symmetry_space_group_name_Hall '-P 4 2'
loop_
_atom_site_label
_atom_site_type_symbol
_atom_site_fract_x
_atom_site_fract_y
_atom_site_fract_z
Na1 Na 0.000 0.000 0.000
Sb1 Sb 0.000 0.500 0.000
As1 As 0.500 0.500 0.500
I1 I 0.000 0.000 0.500

Verdict on stability: b comes out at the bottom.

## a
# NaTe2AsI | the Alexandria database | PBE | relaxed
# Total moment: 0.0 μB/cell
data_NaTe2AsI
_chemical_formula_sum 'Na1 Te2 As1 I1'
_cell_length_a 5.546
_cell_length_b 5.546
_cell_length_c 5.886
_cell_angle_alpha 90.00
_cell_angle_beta 90.00
_cell_angle_gamma 90.00
_symmetry_space_group_name_H-M 'P 4/m m m'
_symmetry_Int_Tables_number 123
_symmetry_space_group_name_Hall '-P 4 2'
loop_
_atom_site_label
_atom_site_type_symbol
_atom_site_fract_x
_atom_site_fract_y
_atom_site_fract_z
Na1 Na 0.000 0.000 0.000
Te1 Te 0.000 0.500 0.500
As1 As 0.500 0.500 0.500
I1 I 0.500 0.500 0.000

## b
# NaTe2AsI | the Alexandria database | PBE | relaxed
# Total moment: 0.0 μB/cell
data_NaTe2AsI
_chemical_formula_sum 'Na1 Te2 As1 I1'
_cell_length_a 5.556
_cell_length_b 5.556
_cell_length_c 5.488
_cell_angle_alpha 90.00
_cell_angle_beta 90.00
_cell_angle_gamma 90.00
_symmetry_space_group_name_H-M 'P 4/m m m'
_symmetry_Int_Tables_number 123
_symmetry_space_group_name_Hall '-P 4 2'
loop_
_atom_site_label
_atom_site_type_symbol
_atom_site_fract_x
_atom_site_fract_y
_atom_site_fract_z
Na1 Na 0.000 0.000 0.000
Te1 Te 0.000 0.500 0.000
As1 As 0.500 0.500 0.500
I1 I 0.000 0.000 0.500

Verdict on stability: b comes out at the bottom.

## a
# NaTeAsI2 | the Alexandria database | PBE | relaxed
# Total moment: 0.4 μB/cell
data_NaTeAsI2
_chemical_formula_sum 'Na1 Te1 As1 I2'
_cell_length_a 5.603
_cell_length_b 5.603
_cell_length_c 5.782
_cell_angle_alpha 90.00
_cell_angle_beta 90.00
_cell_angle_gamma 90.00
_symmetry_space_group_name_H-M 'P 4/m m m'
_symmetry_Int_Tables_number 123
_symmetry_space_group_name_Hall '-P 4 2'
loop_
_atom_site_label
_atom_site_type_symbol
_atom_site_fract_x
_atom_site_fract_y
_atom_site_fract_z
Na1 Na 0.000 0.000 0.000
Te1 Te 0.000 0.000 0.500
As1 As 0.500 0.500 0.500
I1 I 0.000 0.500 0.000

## b
# NaTeAsI2 | the Alexandria database | PBE | relaxed
# Total moment: 0.0 μB/cell
data_NaTeAsI2
_chemical_formula_sum 'Na1 Te1 As1 I2'
_cell_length_a 5.831
_cell_length_b 5.831
_cell_length_c 5.539
_cell_angle_alpha 90.00
_cell_angle_beta 90.00
_cell_angle_gamma 90.00
_symmetry_space_group_name_H-M 'P 4/m m m'
_symmetry_Int_Tables_number 123
_symmetry_space_group_name_Hall '-P 4 2'
loop_
_atom_site_label
_atom_site_type_symbol
_atom_site_fract_x
_atom_site_fract_y
_atom_site_fract_z
Na1 Na 0.000 0.000 0.000
Te1 Te 0.500 0.500 0.000
As1 As 0.500 0.500 0.500
I1 I 0.000 0.500 0.500

Verdict on stability: a comes out at the bottom.